YErNi2B2N2 | PBE | optimized geometry

The calculation puts the theoretical density at 7.7 g/cm³. The spin magnetization is 0.0 μB per formula unit. For the total energy, the calculation gives -7.626 eV/atom. The space-group type is P4mm.

a b c (Å): 3.478 3.478 7.503
angles (deg): 90.00 90.00 90.00
Fractional coordinates of all 8 atoms:
N 0.500 0.500 0.855
Ni 0.500 0.000 0.501
B 0.500 0.500 0.661
Ni 0.000 0.500 0.501
B 0.000 0.000 0.338
Y 0.500 0.500 0.167
N 0.000 0.000 0.143
Er 0.000 0.000 0.833

---

Y2ErNi2B2N3 | PBE | optimized geometry

The calculation puts the theoretical density at 7.3 g/cm³. The spin magnetization is 0.0 μB per formula unit. For the total energy, the calculation gives -7.926 eV/atom. The space-group type is I4/mmm.

a b c (Å): 10.284 10.284 10.284
angles (deg): 160.58 160.58 27.60
Fractional coordinates of all 10 atoms:
N 0.500 0.500 0.000
Y 0.623 0.623 0.000
Ni 0.750 0.250 0.500
B 0.189 0.189 0.000
N 0.116 0.116 0.000
Ni 0.250 0.750 0.500
N 0.884 0.884 0.000
Y 0.377 0.377 0.000
Er 0.000 0.000 0.000
B 0.811 0.811 0.000

---

ErBNO | PBE | optimized geometry

The calculation puts the theoretical density at 7.2 g/cm³. The spin magnetization is 0.6 μB per formula unit. For the total energy, the calculation gives -7.132 eV/atom. The space-group type is P4/nmm. For the energy above the lowest structure with this stoichiometry, the calculation gives 660 meV per atom.

a b c (Å): 4.673 4.673 4.404
angles (deg): 90.00 90.00 90.00
Fractional coordinates of all 8 atoms:
N 0.250 0.250 0.603
N 0.750 0.750 0.397
B 0.250 0.250 0.913
O 0.750 0.250 0.000
Er 0.750 0.250 0.500
O 0.250 0.750 0.000
B 0.750 0.750 0.087
Er 0.250 0.750 0.500

---

ErBNO | PBE | optimized geometry

The calculation puts the theoretical density at 7.8 g/cm³. The spin magnetization is 0.0 μB per formula unit. For the total energy, the calculation gives -7.252 eV/atom. The space-group type is P4/nmm. For the energy above the lowest structure with this stoichiometry, the calculation gives 539 meV per atom.

a b c (Å): 3.580 3.580 6.873
angles (deg): 90.00 90.00 90.00
Fractional coordinates of all 8 atoms:
N 0.750 0.750 0.482
Er 0.750 0.750 0.827
N 0.250 0.250 0.518
O 0.250 0.750 0.000
O 0.750 0.250 0.000
Er 0.250 0.250 0.173
B 0.250 0.750 0.500
B 0.750 0.250 0.500

---

ErBNO | PBE | optimized geometry

The calculation puts the theoretical density at 8.4 g/cm³. The spin magnetization is 0.0 μB per formula unit. For the total energy, the calculation gives -7.763 eV/atom. The space-group type is Pmc2_1. For the energy above the lowest structure with this stoichiometry, the calculation gives 29 meV per atom.

a b c (Å): 2.778 5.614 5.294
angles (deg): 90.00 90.00 90.00
Fractional coordinates of all 8 atoms:
B 0.500 0.465 0.697
B 0.500 0.965 0.303
N 0.000 0.063 0.364
O 0.500 0.777 0.114
O 0.500 0.277 0.886
Er 0.000 0.949 0.786
N 0.000 0.563 0.636
Er 0.000 0.449 0.214

---

ErBNO | PBE | optimized geometry

The calculation puts the theoretical density at 8.2 g/cm³. The spin magnetization is 0.0 μB per formula unit. For the total energy, the calculation gives -7.792 eV/atom. The space-group type is Pbcm. For the energy above the lowest structure with this stoichiometry, the calculation gives 0 meV per atom.

a b c (Å): 4.698 5.028 7.104
angles (deg): 90.00 90.00 90.00
Fractional coordinates of all 16 atoms:
Er 0.996 0.950 0.854
N 0.000 0.450 0.805
N 0.000 0.950 0.195
O 0.847 0.449 0.459
O 0.153 0.949 0.541
Er 0.504 0.450 0.854
B 0.952 0.949 0.392
B 0.452 0.949 0.608
O 0.653 0.949 0.459
N 0.500 0.450 0.195
N 0.500 0.950 0.805
Er 0.004 0.450 0.146
O 0.347 0.449 0.541
B 0.548 0.449 0.392
B 0.048 0.449 0.608
Er 0.496 0.950 0.146

---

ErBNO | PBE | optimized geometry

The calculation puts the theoretical density at 8.1 g/cm³. The spin magnetization is 0.0 μB per formula unit. For the total energy, the calculation gives -7.582 eV/atom. The space-group type is Pmc2_1. For the energy above the lowest structure with this stoichiometry, the calculation gives 210 meV per atom.

a b c (Å): 3.487 4.746 5.188
angles (deg): 90.00 90.00 90.00
Fractional coordinates of all 8 atoms:
N 0.000 0.271 0.551
B 0.000 0.484 0.346
N 0.000 0.771 0.449
Er 0.500 0.015 0.234
O 0.500 0.484 0.187
Er 0.500 0.515 0.766
B 0.000 0.984 0.654
O 0.500 0.984 0.813

---

ErTmB2Pd2N2 | PBE | optimized geometry

The calculation puts the theoretical density at 9.7 g/cm³. The spin magnetization is 0.0 μB per formula unit. For the total energy, the calculation gives -7.224 eV/atom. The space-group type is P4mm.

a b c (Å): 3.674 3.674 7.564
angles (deg): 90.00 90.00 90.00
Fractional coordinates of all 8 atoms:
Pd 0.000 0.500 0.500
N 0.000 0.000 0.135
N 0.500 0.500 0.865
B 0.500 0.500 0.676
Tm 0.500 0.500 0.162
B 0.000 0.000 0.324
Pd 0.500 0.000 0.500
Er 0.000 0.000 0.838

---

YErB2Pd2N2 | PBE | optimized geometry

The calculation puts the theoretical density at 8.3 g/cm³. The spin magnetization is 0.0 μB per formula unit. For the total energy, the calculation gives -7.471 eV/atom. The space-group type is P4mm.

a b c (Å): 3.692 3.692 7.601
angles (deg): 90.00 90.00 90.00
Fractional coordinates of all 8 atoms:
B 0.500 0.500 0.674
Pd 0.500 0.000 0.501
N 0.500 0.500 0.862
N 0.000 0.000 0.136
Er 0.000 0.000 0.838
B 0.000 0.000 0.325
Pd 0.000 0.500 0.501
Y 0.500 0.500 0.162

---

YErB4N | PBE | optimized geometry

The calculation puts the theoretical density at 6.7 g/cm³. The spin magnetization is 0.0 μB per formula unit. For the total energy, the calculation gives -7.408 eV/atom. The space-group type is Imm2.

a b c (Å): 5.181 5.181 5.181
angles (deg): 143.50 103.33 88.03
Fractional coordinates of all 7 atoms:
Er 0.234 0.734 0.500
B 0.359 0.498 0.861
B 0.638 0.498 0.139
Y 0.766 0.266 0.500
N 0.003 0.003 0.000
B 0.771 0.000 0.772
B 0.228 0.000 0.228

---

NaErB | PBE | optimized geometry

The calculation puts the theoretical density at 5.5 g/cm³. The spin magnetization is 0.8 μB per formula unit. For the total energy, the calculation gives -3.664 eV/atom. The space-group type is F-43m. For the energy above the lowest structure with this stoichiometry, the calculation gives 0 meV per atom.

a b c (Å): 4.408 4.408 4.408
angles (deg): 60.00 60.00 60.00
Last column: magnetic moment on the atom in μB.
Fractional coordinates of all 3 atoms:
Na 0.750 0.750 0.750  0.01
Er 0.250 0.250 0.250  0.25
B 0.000 0.000 0.000  0.25

---

NaErB | PBE | optimized geometry

The calculation puts the theoretical density at 5.4 g/cm³. The spin magnetization is 0.1 μB per formula unit. For the total energy, the calculation gives -3.115 eV/atom. The space-group type is F-43m. For the energy above the lowest structure with this stoichiometry, the calculation gives 549 meV per atom.

a b c (Å): 4.436 4.436 4.436
angles (deg): 60.00 60.00 60.00
Fractional coordinates of all 3 atoms:
B 0.250 0.250 0.250
Er 0.000 0.000 0.000
Na 0.750 0.750 0.750